A relaxed structure of Mg2ZrHg2, computed with PBE-GGA.

Lattice parameters (Å, degrees): 8.087 8.087 3.314 90.00 90.00 90.00
Element x y z (fractional)
Zr: 0.500 0.500 0.000
Hg: 0.139 0.361 0.000
Hg: 0.639 0.139 0.000
Mg: 0.837 0.337 0.500
Hg: 0.361 0.861 0.000
Mg: 0.337 0.163 0.500
Hg: 0.861 0.639 0.000
Mg: 0.663 0.837 0.500
Mg: 0.163 0.663 0.500
Zr: 0.000 0.000 0.000

Computed properties:
- energy above the most stable polymorph in this dataset (eV per atom) = 0.000
- VASP energy (Ry per atom) = -0.188
- E_form (meV per atom) = -94.7